Compound: PrVIO4
Source: Alexandria
Functional: GGA+U
Structure: relaxed

abc: 6.976 6.976 7.010
angles: 79.21 79.21 56.31
Sites, in units of the cell vectors:
Pr  0.296  0.296  0.830
Pr  0.704  0.704  0.170
V  0.632  0.632  0.747
V  0.368  0.368  0.253
I  0.034  0.034  0.305
I  0.966  0.966  0.695
O  0.302  0.302  0.494
O  0.698  0.698  0.506
O  0.117  0.531  0.123
O  0.509  0.509  0.231
O  0.469  0.883  0.877
O  0.531  0.117  0.123
O  0.491  0.491  0.769
O  0.883  0.469  0.877

Results
Theoretical density ... 4.6 g/cm³
E ... -97.5 eV/cell